Entry 1:
## NbPb2F8 (PBE)

Data for crystalline NbPb2F8 at its relaxed geometry.

```
data_NbPb2F8
_chemical_formula_sum 'Nb2 Pb4 F16'
_cell_length_a 12.469
_cell_length_b 7.223
_cell_length_c 4.766
_cell_angle_alpha 90.00
_cell_angle_beta 90.05
_cell_angle_gamma 90.00
_symmetry_space_group_name_H-M 'C 1 2/m 1'
_symmetry_Int_Tables_number 12
_symmetry_space_group_name_Hall '-C 2y'
loop_
_atom_site_label
_atom_site_fract_x
_atom_site_fract_y
_atom_site_fract_z
Nb1 0.000 0.000 0.000
Pb1 0.166 0.500 0.747
F1 0.068 0.205 0.776
F2 0.137 0.000 0.225
F3 0.166 0.500 0.239
```

Entry 2:
## NbPbF2 (PBE)

Data for crystalline NbPbF2 at its relaxed geometry.

Computed properties:
Energy relative to the lowest polymorph listed for this composition, eV per atom: 0.000

```
data_NbPbF2
_chemical_formula_sum 'Nb3 Pb3 F6'
_cell_length_a 3.0154
_cell_length_b 3.0154
_cell_length_c 30.5611
_cell_angle_alpha 90.00
_cell_angle_beta 90.00
_cell_angle_gamma 120.00
_symmetry_space_group_name_H-M 'R -3 m'
_symmetry_Int_Tables_number 166
_symmetry_space_group_name_Hall '-R 3 2"'
loop_
_atom_site_label
_atom_site_fract_x
_atom_site_fract_y
_atom_site_fract_z
Nb1 0.0000 0.0000 0.0000
Pb1 0.0000 0.0000 0.5000
F1 0.0000 0.0000 0.3819
```

These records have formation energy from raw total energies values of -2.5587; -1.3840 eV per atom, in the order they appear.
These records have volume values of 19.5; 20.1 A^3/atom, in the order they appear.